Here is crystalline NiTeO at its relaxed geometry from Alexandria. Energies are from PBE with a Hubbard U.

a = 8.294 Å, b = 3.140 Å, c = 7.575 Å
α = 90.00°, β = 90.00°, γ = 90.00°
Space group Pnma (No. 62)
Symmetry-distinct sites (fractional):
Ni 0.040 0.250 0.223 (multiplicity 4)
Te 0.236 0.750 0.018 (multiplicity 4)
O 0.078 0.250 0.685 (multiplicity 4)

Results
VASP energy = -3.7720 eV/atom
ρ = 6.8 Mg/m³
size of the total moment = 3.0 μB/cell
volume = 197.3 Å³/cell